Record 1
Below is an optimized crystal structure of RbCoTe, with properties calculated at the PBE-GGA level.

Lattice parameters (Å, degrees): 6.8979 6.8979 6.8979 90.00 90.00 90.00
Closest atoms and distances in Å follow each position.
Space group F-43m (No. 216)
Symmetry-distinct sites (fractional):
Rb (0.0000, 0.0000, 0.0000) x4  4 Co 2.99
Co (0.2500, 0.2500, 0.2500) x4  4 Te 2.99, 4 Rb 2.99
Te (0.0000, 0.0000, 0.5000) x4  4 Co 2.99

Results
Total moment (μB per formula unit): 0.006
Crystal system: cubic
DFT total energy (Ry per atom): -0.2375

=====

Record 2
Below is an optimized crystal structure of RbZnCoTe3, with properties calculated at the PBE-GGA level.

Lattice parameters (Å, degrees): 4.0154 15.9685 10.7673 90.00 90.00 90.00
Closest atoms and distances in Å follow each position.
Space group Cmcm (No. 63)
Symmetry-distinct sites (fractional):
Rb (0.0000, 0.2392, 0.2500) x4  2 Zn 3.71, 8 Te 3.75-3.86, 2 Rb 4.02
Zn (0.0000, 0.4562, 0.7500) x4  4 Te 2.61-2.63
Co (0.0000, 0.0000, 0.0000) x4  6 Te 2.64-2.87
Te (0.0000, 0.0624, 0.7500) x4  2 Zn 2.63, 2 Co 2.87
Te (0.0000, 0.3939, 0.5258) x8  1 Zn 2.61, 2 Co 2.64

Results
Total moment (μB per formula unit): 0.148
Crystal system: orthorhombic
DFT total energy (Ry per atom): -0.2538

=====

Record 3
Below is an optimized crystal structure of RbZrCoTe3, with properties calculated at the PBE-GGA level.

Lattice parameters (Å, degrees): 3.9541 17.5692 10.3408 90.00 90.00 90.00
Closest atoms and distances in Å follow each position.
Space group Cmcm (No. 63)
Symmetry-distinct sites (fractional):
Rb (0.0000, 0.2447, 0.2500) x4  6 Te 3.60-3.65, 2 Rb 3.95
Zr (0.0000, 0.5000, 0.0000) x4  6 Te 2.89-2.93
Co (0.0000, 0.0169, 0.7500) x4  4 Te 2.52-2.53
Te (0.0000, 0.1151, 0.5728) x8  1 Co 2.52
Te (0.0000, 0.4268, 0.7500) x4  2 Co 2.53

Results
Total moment (μB per formula unit): 1.274
Crystal system: orthorhombic
DFT total energy (Ry per atom): -0.3702

=====

Record 4
Below is an optimized crystal structure of RbThCo, with properties calculated at the PBE-GGA level.

Lattice parameters (Å, degrees): 6.9330 6.9330 6.9330 90.00 90.00 90.00
Closest atoms and distances in Å follow each position.
Space group F-43m (No. 216)
Symmetry-distinct sites (fractional):
Rb (0.0000, 0.0000, 0.0000) x4  4 Co 3.00
Th (0.0000, 0.0000, 0.5000) x4  4 Co 3.00
Co (0.2500, 0.2500, 0.2500) x4  4 Th 3.00, 4 Rb 3.00

Results
Total moment (μB per formula unit): 0.000
Crystal system: cubic
DFT total energy (Ry per atom): -0.3043

=====

Record 5
Below is an optimized crystal structure of RbTlCo, with properties calculated at the PBE-GGA level.

Lattice parameters (Å, degrees): 7.1814 7.1814 7.1814 90.00 90.00 90.00
Closest atoms and distances in Å follow each position.
Space group F-43m (No. 216)
Symmetry-distinct sites (fractional):
Rb (0.0000, 0.0000, 0.0000) x4  4 Co 3.11
Tl (0.0000, 0.0000, 0.5000) x4  4 Co 3.11
Co (0.2500, 0.2500, 0.2500) x4  4 Tl 3.11, 4 Rb 3.11

Results
Total moment (μB per formula unit): 1.000
Crystal system: cubic
DFT total energy (Ry per atom): -0.1892

=====

Record 6
Below is an optimized crystal structure of RbTmCo, with properties calculated at the PBE-GGA level.

Lattice parameters (Å, degrees): 6.9807 6.9807 6.9807 90.00 90.00 90.00
Closest atoms and distances in Å follow each position.
Space group F-43m (No. 216)
Symmetry-distinct sites (fractional):
Rb (0.0000, 0.0000, 0.0000) x4  4 Co 3.02
Tm (0.0000, 0.0000, 0.5000) x4  4 Co 3.02
Co (0.2500, 0.2500, 0.2500) x4  4 Rb 3.02, 4 Tm 3.02

Results
Total moment (μB per formula unit): 0.497
Crystal system: cubic
DFT total energy (Ry per atom): -0.2318

=====

Record 7
Below is an optimized crystal structure of RbZrCo, with properties calculated at the PBE-GGA level.

Lattice parameters (Å, degrees): 6.6576 6.6576 6.6576 90.00 90.00 90.00
Closest atoms and distances in Å follow each position.
Space group F-43m (No. 216)
Symmetry-distinct sites (fractional):
Rb (0.0000, 0.0000, 0.0000) x4  4 Co 2.88
Zr (0.0000, 0.0000, 0.5000) x4  4 Co 2.88
Co (0.2500, 0.2500, 0.2500) x4  4 Zr 2.88, 4 Rb 2.88

Results
Total moment (μB per formula unit): 0.025
Crystal system: cubic
DFT total energy (Ry per atom): -0.3099

=====

Record 8
Below is an optimized crystal structure of RbZrCo, with properties calculated at the PBE-GGA level.

Lattice parameters (Å, degrees): 6.5201 6.5201 6.5201 90.00 90.00 90.00
Closest atoms and distances in Å follow each position.
Space group F-43m (No. 216)
Symmetry-distinct sites (fractional):
Rb (0.0000, 0.0000, 0.0000) x4  4 Zr 2.82, 4 Co 2.82
Zr (0.2500, 0.2500, 0.2500) x4  4 Rb 2.82
Co (0.2500, 0.2500, 0.7500) x4  4 Rb 2.82

Results
Total moment (μB per formula unit): 0.386
Crystal system: cubic
DFT total energy (Ry per atom): -0.2435